A plane-wave DFT calculation with PBE was carried out for a relaxed structure of TeIO.

abc: 3.6273 3.7050 7.0049
angles: 83.06 75.21 90.00
Atoms (fractional coordinates):
I 0.3975 0.0383 0.4774
Te 0.2185 0.3609 0.8423
O 0.1367 0.9045 0.0087

## Properties
Raw total energy (eV/cell): -10.38
Formation energy from raw total energies (eV per atom): -0.24
Total magnetic moment (μB per formula unit): 0.00
Excess energy over the best structure of this formula in the dataset (meV/atom): 236


A plane-wave DFT calculation with PBE was carried out for a relaxed structure of Zr2MoBr.

abc: 8.8052 8.8052 8.8052
angles: 22.08 22.08 22.08
Atoms (fractional coordinates):
Zr 0.4928 0.4928 0.4928
Zr 0.0072 0.0072 0.0072
Mo 0.7500 0.7500 0.7500
Br 0.2500 0.2500 0.2500

## Properties
Raw total energy (eV/cell): -30.35
Formation energy from raw total energies (eV per atom): -0.19
Total magnetic moment (μB per formula unit): 0.00
Excess energy over the best structure of this formula in the dataset (meV/atom): 150


Among the records above, which one has the highest excess energy over the best structure of this formula in the dataset?
TeIO


Copy entry 2 word for word.
A plane-wave DFT calculation with PBE was carried out for a relaxed structure of Zr2MoBr.

abc: 8.8052 8.8052 8.8052
angles: 22.08 22.08 22.08
Atoms (fractional coordinates):
Zr 0.4928 0.4928 0.4928
Zr 0.0072 0.0072 0.0072
Mo 0.7500 0.7500 0.7500
Br 0.2500 0.2500 0.2500

## Properties
Raw total energy (eV/cell): -30.35
Formation energy from raw total energies (eV per atom): -0.19
Total magnetic moment (μB per formula unit): 0.00
Excess energy over the best structure of this formula in the dataset (meV/atom): 150


Which value of raw total energy does entry 2 give?
-30.35 eV/cell


Which of these has the highest formation energy from raw total energies?
Zr2MoBr